# TlPdSeN2

A geometry-optimized TlPdSeN2 structure (GGA-PBE, Alexandria via LeMat-Bulk).

Summary:
Magnetic moment (μB/cell): 3.5
Relative energy among the computed polymorphs (meV/atom): 0
Total energy (eV per atom): -4.324
Formation energy (no corrections) (kcal/mol of atoms): 28.0
Fermi-level density of states (states/eV/f.u.): 3.40

Unit cell a=4.0998 b=4.0998 c=5.5113 alpha=90.00 beta=90.00 gamma=90.00
Space group P4/mmm (No. 123)
Unique sites:
Tl 0.0000 0.0000 0.0000 x1
Pd 0.5000 0.5000 0.5000 x1
Se 0.5000 0.5000 0.0000 x1
N 0.0000 0.5000 0.5000 x2

# Th3SbPN

A geometry-optimized Th3SbPN structure (GGA-PBE, Alexandria via LeMat-Bulk).

Summary:
Magnetic moment (μB/cell): 0.1
Total energy (eV per atom): -7.965
Formation energy (no corrections) (kcal/mol of atoms): -29.5
Fermi-level density of states (states/eV/f.u.): 3.59

Unit cell a=8.7568 b=4.1584 c=9.2325 alpha=90.00 beta=101.20 gamma=90.00
Space group P2_1/m (No. 11)
Unique sites:
Th 0.0705 0.2500 0.3474 x2
Th 0.3250 0.2500 0.9779 x2
Th 0.3860 0.7500 0.6457 x2
Sb 0.3223 0.7500 0.2725 x2
P 0.1593 0.2500 0.6626 x2
N 0.4159 0.7500 0.9047 x2

# Tb2Pr6Ho5

A geometry-optimized Tb2Pr6Ho5 structure (GGA-PBE, Alexandria via LeMat-Bulk).

Summary:
Magnetic moment (μB/cell): 0.0
Total energy (eV per atom): -4.575
Energy relative to the elements (eV per atom): 0.10
Fermi-level density of states (states/eV/f.u.): 15.57

Unit cell a=11.7755 b=20.6901 c=3.6431 alpha=90.00 beta=90.00 gamma=90.00
Space group Pbam (No. 55)
Unique sites:
Tb 0.1656 0.2111 0.0000 x4
Pr 0.0596 0.9201 0.0000 x4
Pr 0.0830 0.6330 0.0000 x4
Pr 0.1740 0.3666 0.5000 x4
Ho 0.0000 0.5000 0.5000 x2
Ho 0.0932 0.7739 0.5000 x4
Ho 0.1987 0.0561 0.5000 x4

# NaLa2ZnRe

A geometry-optimized NaLa2ZnRe structure (GGA-PBE, Alexandria via LeMat-Bulk).

Summary:
Magnetic moment (μB/cell): 0.0
Total energy (eV per atom): -4.230
Energy relative to the elements (eV per atom): 0.75
Fermi-level density of states (states/eV/f.u.): 6.18

Unit cell a=5.7075 b=5.7075 c=4.7161 alpha=90.00 beta=90.00 gamma=90.00
Space group P4/mmm (No. 123)
Unique sites:
Na 0.0000 0.0000 0.0000 x1
La 0.0000 0.5000 0.5000 x2
Zn 0.5000 0.5000 0.5000 x1
Re 0.5000 0.5000 0.0000 x1

# LiPmInSn

A geometry-optimized LiPmInSn structure (GGA-PBE, Alexandria via LeMat-Bulk).

Summary:
Magnetic moment (μB/cell): 0.0
Relative energy among the computed polymorphs (meV/atom): 0
Total energy (eV per atom): -3.871
Energy relative to the elements (eV per atom): -0.52
Fermi-level density of states (states/eV/f.u.): 1.68

Unit cell a=4.5352 b=4.5758 c=4.7428 alpha=90.00 beta=90.00 gamma=90.00
Space group Pmmm (No. 47)
Unique sites:
Li 0.0000 0.0000 0.0000 x1
Pm 0.0000 0.5000 0.5000 x1
In 0.5000 0.5000 0.0000 x1
Sn 0.5000 0.0000 0.5000 x1

# PmDy3Ga

A geometry-optimized PmDy3Ga structure (GGA-PBE, Alexandria via LeMat-Bulk).

Summary:
Magnetic moment (μB/cell): 0.0
Total energy (eV per atom): -4.388
Energy relative to the elements (eV per atom): -0.07
Fermi-level density of states (states/eV/f.u.): 6.37

Unit cell a=11.9173 b=8.8579 c=7.7130 alpha=90.00 beta=129.14 gamma=90.00
Space group C2/m (No. 12)
Unique sites:
Pm 0.0543 0.0000 0.3248 x4
Dy 0.0690 0.5000 0.2672 x4
Dy 0.2086 0.3072 0.7448 x8
Ga 0.2398 0.5000 0.1040 x4

# Tm2Al9Zn

A geometry-optimized Tm2Al9Zn structure (GGA-PBE, Alexandria via LeMat-Bulk).

Summary:
Magnetic moment (μB/cell): 0.0
Total energy (eV per atom): -3.890
Energy relative to the elements (eV per atom): -0.23
Fermi-level density of states (states/eV/f.u.): 3.59

Unit cell a=4.1954 b=4.1954 c=12.3818 alpha=90.00 beta=90.00 gamma=90.00
Space group P4/mmm (No. 123)
Unique sites:
Tm 0.0000 0.0000 0.1718 x2
Al 0.0000 0.5000 0.0000 x2
Al 0.0000 0.5000 0.3488 x4
Al 0.5000 0.5000 0.1705 x2
Al 0.5000 0.5000 0.5000 x1
Zn 0.0000 0.0000 0.5000 x1

# BaMgAs2

A geometry-optimized BaMgAs2 structure (GGA-PBE, Alexandria via LeMat-Bulk).

Summary:
Magnetic moment (μB/cell): 0.0
Total energy (eV per atom): -3.615
Energy relative to the elements (eV per atom): -0.41
Fermi-level density of states (states/eV/f.u.): 1.76

Unit cell a=10.6458 b=3.9616 c=5.6003 alpha=90.00 beta=106.67 gamma=90.00
Space group Cm (No. 8)
Unique sites:
Ba 0.0000 0.0000 0.0000 x2
Mg 0.2890 0.5000 0.4126 x2
As 0.0026 0.5000 0.4960 x2
As 0.2022 0.0000 0.6580 x2

# Rb2MgH6Ir

A geometry-optimized Rb2MgH6Ir structure (GGA-PBE, Alexandria via LeMat-Bulk).

Summary:
Magnetic moment (μB/cell): 0.0
Total energy (eV per atom): -3.550
Fermi-level density of states (states/eV/f.u.): 3.14

Unit cell a=6.2411 b=6.2411 c=5.1168 alpha=90.00 beta=90.00 gamma=120.00
Space group P-3m1 (No. 164)
Unique sites:
Rb 0.3333 0.6667 0.1905 x2
Mg 0.0000 0.0000 0.5000 x1
H 0.1299 0.2598 0.8060 x6
Ir 0.0000 0.0000 0.0000 x1

# Na3TaMo

A geometry-optimized Na3TaMo structure (GGA-PBE, Alexandria via LeMat-Bulk).

Summary:
Magnetic moment (μB/cell): 9.1
Relative energy among the computed polymorphs (meV/atom): 0
Total energy (eV per atom): -2.956
Energy relative to the elements (eV per atom): 2.37
Fermi-level density of states (states/eV/f.u.): 13.70

Unit cell a=5.7163 b=5.7163 c=5.7163 alpha=90.00 beta=90.00 gamma=90.00
Space group Pm-3m (No. 221)
Unique sites:
Na 0.0000 0.0000 0.5000 x3
Ta 0.5000 0.5000 0.5000 x1
Mo 0.0000 0.0000 0.0000 x1

# MgMn3Se4

A geometry-optimized MgMn3Se4 structure (GGA-PBE, Alexandria via LeMat-Bulk).

Summary:
Magnetic moment (μB/cell): 30.0
Total energy (eV per atom): -5.976
Formation energy (no corrections) (kcal/mol of atoms): -13.7

Unit cell a=8.4318 b=7.3026 c=6.8201 alpha=90.00 beta=90.00 gamma=90.00
Space group Pmn2_1 (No. 31)
Unique sites:
Mg 0.0000 0.1660 0.0000 x2
Mn 0.0000 0.8317 0.5004 x2
Mn 0.2497 0.3339 0.5009 x4
Se 0.0000 0.1656 0.6180 x2
Se 0.0000 0.8294 0.1238 x2
Se 0.2477 0.6651 0.6241 x4

# Ca2Be3Si4Pd

A geometry-optimized Ca2Be3Si4Pd structure (GGA-PBE, Alexandria via LeMat-Bulk).

Summary:
Magnetic moment (μB/cell): 0.0
Total energy (eV per atom): -4.561
Formation energy (no corrections) (kcal/mol of atoms): -8.2
Fermi-level density of states (states/eV/f.u.): 2.35

Unit cell a=3.9195 b=3.9195 c=10.1075 alpha=90.00 beta=90.00 gamma=90.00
Space group P-4m2 (No. 115)
Unique sites:
Ca 0.0000 0.5000 0.2441 x2
Be 0.0000 0.5000 0.8686 x2
Be 0.5000 0.5000 0.5000 x1
Si 0.0000 0.0000 0.0000 x1
Si 0.0000 0.5000 0.6408 x2
Si 0.5000 0.5000 0.0000 x1
Pd 0.0000 0.0000 0.5000 x1

# LiHo2Si4Ir3

A geometry-optimized LiHo2Si4Ir3 structure (GGA-PBE, Alexandria via LeMat-Bulk).

Summary:
Magnetic moment (μB/cell): 0.0
Total energy (eV per atom): -6.838
Formation energy (no corrections) (kcal/mol of atoms): -20.8
Fermi-level density of states (states/eV/f.u.): 4.82

Unit cell a=4.1361 b=4.1361 c=9.8360 alpha=90.00 beta=90.00 gamma=90.00
Space group P-4m2 (No. 115)
Unique sites:
Li 0.0000 0.0000 0.0000 x1
Ho 0.0000 0.5000 0.7457 x2
Si 0.0000 0.0000 0.5000 x1
Si 0.0000 0.5000 0.1313 x2
Si 0.5000 0.5000 0.5000 x1
Ir 0.0000 0.5000 0.3723 x2
Ir 0.5000 0.5000 0.0000 x1

# SiSbRu2

A geometry-optimized SiSbRu2 structure (GGA-PBE, Alexandria via LeMat-Bulk).

Summary:
Magnetic moment (μB/cell): 0.0
Relative energy among the computed polymorphs (meV/atom): 7
Total energy (eV per atom): -7.212
Formation energy (no corrections) (kcal/mol of atoms): -4.3
Fermi-level density of states (states/eV/f.u.): 2.24

Unit cell a=8.6853 b=3.1263 c=4.9486 alpha=90.00 beta=105.12 gamma=90.00
Space group Cm (No. 8)
Unique sites:
Si 0.0000 0.0000 0.0000 x2
Sb 0.2574 0.5000 0.4395 x2
Ru 0.0074 0.5000 0.6290 x2
Ru 0.2839 0.0000 0.0109 x2

# CeAs3Ru

A geometry-optimized CeAs3Ru structure (GGA-PBE, Alexandria via LeMat-Bulk).

Summary:
Magnetic moment (μB/cell): 0.0
Total energy (eV per atom): -6.561
Energy relative to the elements (eV per atom): -0.73
Fermi-level density of states (states/eV/f.u.): 4.76

Unit cell a=12.0228 b=5.7330 c=5.7368 alpha=90.00 beta=90.00 gamma=90.00
Space group Pbcm (No. 57)
Unique sites:
Ce 0.1933 0.0026 0.2500 x4
As 0.0021 0.7500 0.0000 x4
As 0.2785 0.0048 0.7500 x4
As 0.4343 0.1109 0.2500 x4
Ru 0.4080 0.7500 0.0000 x4

# KInSiC2

A geometry-optimized KInSiC2 structure (GGA-PBE, Alexandria via LeMat-Bulk).

Summary:
Magnetic moment (μB/cell): 3.1
Total energy (eV per atom): -2.389
Formation energy (no corrections) (kcal/mol of atoms): 72.7
Fermi-level density of states (states/eV/f.u.): 4.66

Unit cell a=5.1380 b=5.1380 c=6.0694 alpha=90.00 beta=90.00 gamma=90.00
Space group P4/mmm (No. 123)
Unique sites:
K 0.0000 0.0000 0.0000 x1
In 0.5000 0.5000 0.5000 x1
Si 0.0000 0.0000 0.5000 x1
C 0.0000 0.5000 0.0000 x2

# CrHg2Pb

A geometry-optimized CrHg2Pb structure (GGA-PBE, Alexandria via LeMat-Bulk).

Summary:
Magnetic moment (μB/cell): 12.5
Total energy (eV per atom): -3.163
Energy relative to the elements (eV per atom): 0.32
Fermi-level density of states (states/eV/f.u.): 1.17

Unit cell a=3.3769 b=3.3769 c=29.4628 alpha=90.00 beta=90.00 gamma=120.00
Space group R-3m (No. 166, hexagonal axes)
Unique sites:
Cr 0.0000 0.0000 0.0000 x3
Hg 0.0000 0.0000 0.2621 x6
Pb 0.0000 0.0000 0.5000 x3

# Cd2HgOs

A geometry-optimized Cd2HgOs structure (GGA-PBE, Alexandria via LeMat-Bulk).

Summary:
Magnetic moment (μB/cell): 0.0
Total energy (eV per atom): -2.676
Energy relative to the elements (eV per atom): 0.66
Fermi-level density of states (states/eV/f.u.): 3.15

Unit cell a=3.3906 b=3.3906 c=6.7016 alpha=90.00 beta=90.00 gamma=90.00
Space group P4mm (No. 99)
Unique sites:
Cd 0.0000 0.0000 0.0000 x1
Cd 0.5000 0.5000 0.2691 x1
Hg 0.0000 0.0000 0.5412 x1
Os 0.5000 0.5000 0.7794 x1

# ZrCdSi2Bi

A geometry-optimized ZrCdSi2Bi structure (GGA-PBE, Alexandria via LeMat-Bulk).

Summary:
Magnetic moment (μB/cell): 0.7
Total energy (eV per atom): -3.519
Formation energy (no corrections) (kcal/mol of atoms): 30.4
Fermi-level density of states (states/eV/f.u.): 5.50

Unit cell a=5.3364 b=5.3364 c=5.5785 alpha=90.00 beta=90.00 gamma=90.00
Space group P4/mmm (No. 123)
Unique sites:
Zr 0.0000 0.0000 0.0000 x1
Cd 0.5000 0.5000 0.0000 x1
Si 0.0000 0.5000 0.5000 x2
Bi 0.0000 0.0000 0.5000 x1

# La2PrCo2

A geometry-optimized La2PrCo2 structure (GGA-PBE, Alexandria via LeMat-Bulk).

Summary:
Magnetic moment (μB/cell): 0.0
Relative energy among the computed polymorphs (meV/atom): 7
Total energy (eV per atom): -5.789
Energy relative to the elements (eV per atom): -0.02
Fermi-level density of states (states/eV/f.u.): 2.56

Unit cell a=11.5263 b=4.0809 c=5.7089 alpha=90.00 beta=107.28 gamma=90.00
Space group C2/m (No. 12)
Unique sites:
La 0.1629 0.0000 0.1399 x4
Pr 0.0000 0.5000 0.5000 x2
Co 0.2016 0.0000 0.6315 x4

# SrTa2W

A geometry-optimized SrTa2W structure (GGA-PBE, Alexandria via LeMat-Bulk).

Summary:
Magnetic moment (μB/cell): 0.0
Relative energy among the computed polymorphs (meV/atom): 992
Total energy (eV per atom): -8.022
Energy relative to the elements (eV per atom): 1.56
Fermi-level density of states (states/eV/f.u.): 6.06

Unit cell a=5.2116 b=5.2116 c=17.8974 alpha=90.00 beta=90.00 gamma=90.00
Space group I4_1/amd (No. 141, origin choice 2)
Unique sites:
Sr 0.0000 0.2500 0.3750 x4
Ta 0.0000 0.0000 0.0000 x8
W 0.0000 0.2500 0.8750 x4

# BeH3S

A geometry-optimized BeH3S structure (GGA-PBE, Alexandria via LeMat-Bulk).

Summary:
Magnetic moment (μB/cell): 0.0
Relative energy among the computed polymorphs (meV/atom): 166
Total energy (eV per atom): -2.557
Fermi-level density of states (states/eV/f.u.): 1.31

Unit cell a=3.4804 b=3.4804 c=3.4804 alpha=90.00 beta=90.00 gamma=90.00
Space group Pm-3m (No. 221)
Unique sites:
Be 0.0000 0.0000 0.0000 x1
H 0.0000 0.5000 0.5000 x3
S 0.5000 0.5000 0.5000 x1

# Ac6NiPd2Ru

A geometry-optimized Ac6NiPd2Ru structure (GGA-PBE, Alexandria via LeMat-Bulk).

Summary:
Magnetic moment (μB/cell): 0.0
Total energy (eV per atom): -5.405
Energy relative to the elements (eV per atom): -0.40
Fermi-level density of states (states/eV/f.u.): 7.32

Unit cell a=7.5398 b=7.5433 c=8.2321 alpha=90.10 beta=117.23 gamma=119.90
Space group P1 (No. 1)
Unique sites:
Ac 0.0000 0.0000 0.0000 x1
Ac 0.0000 0.1551 0.5072 x1
Ac 0.3559 0.6537 0.0002 x1
Ac 0.3667 0.8652 0.5069 x1
Ac 0.7023 0.3556 0.9993 x1
Ac 0.7101 0.4990 0.5077 x1
Ni 0.8605 0.7566 0.2604 x1
Pd 0.5024 0.5784 0.7240 x1
Pd 0.5066 0.0807 0.2293 x1
Ru 0.8674 0.2602 0.7706 x1

# Pu2Co2Ge

A geometry-optimized Pu2Co2Ge structure (GGA-PBE, Alexandria via LeMat-Bulk).

Summary:
Magnetic moment (μB/cell): 17.5
Total energy (eV per atom): -9.775
Energy relative to the elements (eV per atom): -0.28
Fermi-level density of states (states/eV/f.u.): 13.95

Unit cell a=4.1975 b=5.2697 c=7.9985 alpha=90.00 beta=90.00 gamma=90.00
Space group Immm (No. 71)
Unique sites:
Pu 0.0000 0.0000 0.2071 x4
Co 0.0000 0.2716 0.5000 x4
Ge 0.0000 0.5000 0.0000 x2